(1)
4
Lattice="3.0863 0.0000 0.0000 0.0000 4.1989 0.0000 0.0000 0.0000 5.7813" Properties=species:S:1:pos:R:3 comment="ZrIn2Os PBEsol relaxed" ef_mev_per_atom=156 crystal_system=orthorhombic sg="Pmmm (47)" dft_energy_ev_per_atom=-6.66 pbc="T T T"
Zr 0.0000 0.0000 0.0000
In 1.5431 2.0995 1.5335
In 1.5431 2.0995 4.2478
Os 0.0000 0.0000 2.8906

***

(2)
4
Lattice="3.1726 0.0000 0.0000 0.0000 3.1726 0.0000 0.0000 0.0000 6.1763" Properties=species:S:1:pos:R:3 comment="Sc2NiRu PBEsol relaxed" ef_mev_per_atom=-556 crystal_system=tetragonal sg="P4/mmm (123)" dft_energy_ev_per_atom=-7.94 pbc="T T T"
Sc 0.0000 0.0000 1.5358
Sc 0.0000 0.0000 4.6406
Ni 1.5863 1.5863 3.0882
Ru 1.5863 1.5863 0.0000

***

(3)
16
Lattice="6.7549 0.0000 0.0000 0.0000 6.7549 0.0000 0.0000 0.0000 6.7549" Properties=species:S:1:pos:R:3 comment="LuBiPd2 PBEsol relaxed" ef_mev_per_atom=-749 crystal_system=cubic sg="Fm-3m (225)" dft_energy_ev_per_atom=-6.02 pbc="T T T"
Lu 0.0000 0.0000 0.0000
Lu 0.0000 3.3775 3.3775
Lu 3.3775 0.0000 3.3775
Lu 3.3775 3.3775 0.0000
Bi 0.0000 0.0000 3.3775
Bi 0.0000 3.3775 0.0000
Bi 3.3775 0.0000 0.0000
Bi 3.3775 3.3775 3.3775
Pd 1.6887 1.6887 1.6887
Pd 1.6887 1.6887 5.0662
Pd 1.6887 5.0662 1.6887
Pd 1.6887 5.0662 5.0662
Pd 5.0662 1.6887 1.6887
Pd 5.0662 1.6887 5.0662
Pd 5.0662 5.0662 1.6887
Pd 5.0662 5.0662 5.0662

***

(4)
8
Lattice="11.9647 0.0000 0.0000 0.0000 3.4748 0.0000 -0.0927 0.0000 3.7710" Properties=species:S:1:pos:R:3 comment="ZnSiSe2 PBEsol relaxed" crystal_system=monoclinic sg="Cm (8)" dft_energy_ev_per_atom=-3.85 pbc="T T T"
Zn 0.0000 0.0000 0.0000
Zn 5.9824 1.7374 0.0000
Si 2.6223 0.0000 2.2748
Si 8.6047 1.7374 2.2748
Se 0.5418 1.7374 1.8958
Se 3.5212 1.7374 0.1083
Se 6.5242 0.0000 1.8958
Se 9.5036 0.0000 0.1083

***

Volume values (in Å³ per cell) by entry order: 74.9, 62.2, 308.2, 156.8.